Sm2Ga2Ir: relaxed, GGA-PBE.

## Properties
* energy relative to the lowest polymorph listed for this composition: 0.000 eV per atom
* energy of formation: -0.72 eV per atom
* N(E_F): 17.04 states/eV/cell
* crystal system: monoclinic
* E_tot: -27.95 eV per formula unit

Cell and atoms, written as CIF:
```
data_Sm2Ga2Ir
_cell_length_a 11.025
_cell_length_b 4.188
_cell_length_c 10.792
_cell_angle_alpha 90.00
_cell_angle_beta 115.27
_cell_angle_gamma 90.00
_space_group_name_H-M_alt 'C 1 2/m 1'
_space_group_IT_number 12
loop_
_space_group_symop_operation_xyz
'x,y,z'
'-x,-y,-z'
'-x,y,-z'
'x,-y,z'
'x+1/2,y+1/2,z'
'-x+1/2,-y+1/2,-z'
'-x+1/2,y+1/2,-z'
'x+1/2,-y+1/2,z'
loop_
_atom_site_label
_atom_site_fract_x
_atom_site_fract_y
_atom_site_fract_z
Sm1 0.005 0.000 0.333
Sm2 0.190 0.000 0.122
Ga1 0.024 0.500 0.888
Ga2 0.158 0.500 0.553
Ir1 0.214 0.500 0.332
```



SiTc3: relaxed, GGA-PBE.

## Properties
* energy relative to the lowest polymorph listed for this composition: 0.188 eV per atom
* E_form (uncorrected): -0.0761 eV per atom
* N(E_F): 15.54 states/eV/cell
* crystal system: trigonal
* E_tot: -36.83 eV per formula unit

Cell and atoms, written as CIF:
```
data_SiTc3
_cell_length_a 2.8029
_cell_length_b 2.8029
_cell_length_c 24.9668
_cell_angle_alpha 90.00
_cell_angle_beta 90.00
_cell_angle_gamma 120.00
_space_group_name_H-M_alt 'R -3 m'
_space_group_IT_number 166
_space_group_name_Hall '-R 3 2"'
loop_
_atom_site_label
_atom_site_fract_x
_atom_site_fract_y
_atom_site_fract_z
Si1 0.0000 0.0000 0.0000
Tc1 0.0000 0.0000 0.2531
Tc2 0.0000 0.0000 0.5000
```



Ti6Ga10Rh: relaxed, GGA-PBE.

## Properties
* energy of formation: -0.33 eV per atom
* N(E_F): 13.02 states/eV/cell
* crystal system: trigonal
* E_tot: -90.62 eV per formula unit

Cell and atoms, written as CIF:
```
data_Ti6Ga10Rh
_cell_length_a 7.7136
_cell_length_b 7.7136
_cell_length_c 5.3447
_cell_angle_alpha 90.00
_cell_angle_beta 90.00
_cell_angle_gamma 120.00
_space_group_name_H-M_alt 'P -3 1 m'
_space_group_IT_number 162
_space_group_name_Hall '-P 3 2'
loop_
_atom_site_label
_atom_site_fract_x
_atom_site_fract_y
_atom_site_fract_z
Ti1 0.0000 0.3883 0.2840
Ga1 0.0000 0.2524 0.8056
Ga2 0.3333 0.6667 0.0000
Ga3 0.3333 0.6667 0.5000
Rh1 0.0000 0.0000 0.5000
```



PaCoTc2B: relaxed, GGA-PBE.

## Properties
* energy of formation: -0.41 eV per atom
* N(E_F): 3.51 states/eV/cell
* crystal system: tetragonal
* E_tot: -46.05 eV per formula unit

Cell and atoms, written as CIF:
```
data_PaCoTc2B
_cell_length_a 4.265
_cell_length_b 4.265
_cell_length_c 3.940
_cell_angle_alpha 90.00
_cell_angle_beta 90.00
_cell_angle_gamma 90.00
_space_group_name_H-M_alt 'P 4/m m m'
_space_group_IT_number 123
_space_group_name_Hall '-P 4 2'
loop_
_atom_site_label
_atom_site_fract_x
_atom_site_fract_y
_atom_site_fract_z
Pa1 0.000 0.000 0.000
Co1 0.500 0.500 0.000
Tc1 0.000 0.500 0.500
B1 0.500 0.500 0.500
```



CsHoSe: relaxed, GGA-PBE.

## Properties
* E_form (uncorrected): -0.5077 eV per atom
* N(E_F): 6.54 states/eV/cell
* crystal system: hexagonal
* E_tot: -10.44 eV per formula unit

Cell and atoms, written as CIF:
```
data_CsHoSe
_cell_length_a 3.9646
_cell_length_b 3.9646
_cell_length_c 17.1024
_cell_angle_alpha 90.00
_cell_angle_beta 90.00
_cell_angle_gamma 120.00
_space_group_name_H-M_alt 'P -6 m 2'
_space_group_IT_number 187
_space_group_name_Hall 'P -6 2'
loop_
_atom_site_label
_atom_site_fract_x
_atom_site_fract_y
_atom_site_fract_z
Cs1 0.0000 0.0000 0.1422
Ho1 0.3333 0.6667 0.3923
Se1 0.0000 0.0000 0.5000
Se2 0.3333 0.6667 0.0000
```



AlNiAs: relaxed, GGA-PBE.

## Properties
* energy of formation: -0.15 eV per atom
* N(E_F): 0.81 states/eV/cell
* crystal system: tetragonal
* E_tot: -14.63 eV per formula unit

Cell and atoms, written as CIF:
```
data_AlNiAs
_cell_length_a 2.843
_cell_length_b 2.843
_cell_length_c 11.201
_cell_angle_alpha 90.00
_cell_angle_beta 90.00
_cell_angle_gamma 90.00
_space_group_name_H-M_alt 'I 4 m m'
_space_group_IT_number 107
_space_group_name_Hall 'I 4 -2'
loop_
_atom_site_label
_atom_site_fract_x
_atom_site_fract_y
_atom_site_fract_z
Al1 0.000 0.000 0.000
Ni1 0.000 0.000 0.367
As1 0.000 0.000 0.723
```